{"formula": "Li7Zn3Cu2", "functional": "PBE-GGA", "state": "optimized geometry", "dos_ef_per_ev_cell": 5.132, "space_group": "P2/m (10)", "final_energy_ry_per_atom": -0.1586, "delta_e_f_mev_per_atom": -40.6, "lattice_angstrom": [[2.7040, 0.0000, 0.0000], [0.0000, 4.4462, -0.1602], [0.0000, -2.7489, 14.8318]], "species": ["Li", "Li", "Li", "Li", "Li", "Li", "Li", "Zn", "Zn", "Zn", "Cu", "Cu"], "frac_coords": [[0.5000, 0.2779, 0.5380], [0.0000, 0.0000, 0.0000], [0.5000, 0.0646, 0.2000], [0.5000, 0.7221, 0.4620], [0.0000, 0.4713, 0.8518], [0.0000, 0.5287, 0.1482], [0.5000, 0.9354, 0.8000], [0.0000, 0.1661, 0.3627], [0.5000, 0.5000, 0.0000], [0.0000, 0.8339, 0.6373], [0.5000, 0.3696, 0.7014], [0.5000, 0.6304, 0.2986]]}

{"formula": "LiZnCu6", "functional": "PBE-GGA", "state": "optimized geometry", "dos_ef_per_ev_cell": 3.512, "space_group": "Amm2 (38)", "final_energy_ry_per_atom": -0.2588, "polymorph_energy_mev_per_atom": 0, "delta_e_f_mev_per_atom": -49.9, "lattice_angstrom": [[4.2179, 0.0000, 0.0000], [0.0000, 4.7058, -2.1628], [0.0000, -0.4843, 5.1564]], "species": ["Cu", "Cu", "Cu", "Cu", "Cu", "Cu", "Zn", "Li"], "frac_coords": [[0.0000, 0.3306, 0.1677], [0.0000, 0.8344, 0.1656], [0.0000, 0.8323, 0.6694], [0.0000, 0.3334, 0.6666], [0.5000, 0.6672, 0.8328], [0.5000, 0.1672, 0.3328], [0.5000, 0.6676, 0.3324], [0.5000, 0.1673, 0.8327]]}

{"formula": "Li7Zn3Cu", "functional": "PBE-GGA", "state": "optimized geometry", "dos_ef_per_ev_cell": 7.176, "space_group": "Cmcm (63)", "final_energy_ry_per_atom": -0.1479, "polymorph_energy_mev_per_atom": 0, "delta_e_f_mev_per_atom": -75.2, "lattice_angstrom": [[2.6720, 0.0000, 0.0000], [-1.3360, 10.7384, 0.0000], [0.0000, 0.0000, 12.4919]], "species": ["Li", "Li", "Li", "Li", "Li", "Li", "Li", "Li", "Li", "Li", "Li", "Li", "Li", "Li", "Zn", "Zn", "Zn", "Zn", "Zn", "Zn", "Cu", "Cu"], "frac_coords": [[0.2771, 0.5542, 0.3949], [0.5518, 0.1036, 0.1339], [0.4482, 0.8964, 0.6339], [0.4482, 0.8964, 0.8661], [0.5837, 0.1673, 0.9094], [0.5837, 0.1673, 0.5906], [0.2771, 0.5542, 0.1051], [0.7229, 0.4458, 0.8949], [0.7229, 0.4458, 0.6051], [0.6764, 0.3528, 0.2500], [0.4163, 0.8327, 0.0906], [0.5518, 0.1036, 0.3661], [0.3236, 0.6472, 0.7500], [0.4163, 0.8327, 0.4094], [0.1558, 0.3117, 0.0562], [0.8500, 0.6999, 0.2500], [0.1500, 0.3001, 0.7500], [0.1558, 0.3117, 0.4438], [0.8442, 0.6883, 0.9438], [0.8442, 0.6883, 0.5562], [0.0311, 0.0621, 0.7500], [0.9689, 0.9379, 0.2500]]}

{"formula": "LiZnCu14", "functional": "PBE-GGA", "state": "optimized geometry", "dos_ef_per_ev_cell": 6.911, "space_group": "Amm2 (38)", "final_energy_ry_per_atom": -0.2799, "delta_e_f_mev_per_atom": -25.2, "lattice_angstrom": [[-4.2150, -2.3214, -1.8784], [4.3412, -2.7131, 0.6902], [-2.4206, -1.8956, 7.7743]], "species": ["Cu", "Cu", "Cu", "Cu", "Cu", "Cu", "Cu", "Cu", "Cu", "Cu", "Cu", "Cu", "Cu", "Cu", "Li", "Zn"], "frac_coords": [[0.8765, 0.6253, 0.7525], [0.5416, 0.9602, 0.5000], [0.3747, 0.1235, 0.2475], [0.3743, 0.6257, 0.7478], [0.7084, 0.2916, 0.0000], [0.7071, 0.7907, 0.0000], [0.2090, 0.7910, 0.0000], [0.2093, 0.2929, 0.0000], [0.8752, 0.1248, 0.7514], [0.0398, 0.4584, 0.5000], [0.8752, 0.1248, 0.2486], [0.3743, 0.6257, 0.2522], [0.8765, 0.6253, 0.2475], [0.3747, 0.1235, 0.7525], [0.0413, 0.9587, 0.5000], [0.5421, 0.4579, 0.5000]]}

{"formula": "LiZnCu", "functional": "PBE-GGA", "state": "optimized geometry", "dos_ef_per_ev_cell": 0.922, "space_group": "I4mm (107)", "final_energy_ry_per_atom": -0.1847, "polymorph_energy_mev_per_atom": 59, "delta_e_f_mev_per_atom": -85.2, "lattice_angstrom": [[-0.0003, 5.3242, -2.4594], [-3.5955, 4.3912, -1.4783], [2.0622, -4.0599, 3.6961]], "species": ["Li", "Cu", "Zn"], "frac_coords": [[0.3379, 0.3379, 0.0000], [0.0020, 0.0020, 0.0000], [0.6601, 0.6601, 0.0000]]}

{"formula": "Li2Zn4Cu5", "functional": "PBE-GGA", "state": "optimized geometry", "dos_ef_per_ev_cell": 2.600, "space_group": "P-1 (2)", "final_energy_ry_per_atom": -0.2041, "polymorph_energy_mev_per_atom": 0, "delta_e_f_mev_per_atom": -103.9, "lattice_angstrom": [[3.7424, 0.0068, -1.0785], [-0.3228, 5.8918, -1.1480], [-0.1127, -0.8851, 6.7097]], "species": ["Li", "Li", "Cu", "Cu", "Cu", "Cu", "Cu", "Zn", "Zn", "Zn", "Zn"], "frac_coords": [[0.5899, 0.4547, 0.1808], [0.4101, 0.5453, 0.8192], [0.0454, 0.7327, 0.0903], [0.9546, 0.2673, 0.9097], [0.2242, 0.6395, 0.4509], [0.5000, 0.0000, 0.0000], [0.7758, 0.3605, 0.5491], [0.3229, 0.0973, 0.6461], [0.1367, 0.1934, 0.2729], [0.6771, 0.9027, 0.3539], [0.8633, 0.8066, 0.7271]]}

Across the entries above, size of the total moment takes the values 0.0 0.0 0.0 0.0 0.0 0.0 μB per cell, respectively.